1.
The following is a DFT calculation (SCAN) of a crystal of Rb2ZnH12Se2O14 relaxed with PBEsol.

Computed properties:
**SG**: No. 14
**Total moment**: 0.0 μB/cell
**N(E_F)**: 0.000 states/eV/atom
**VASP energy**: -8.41 eV per atom

```
data_Rb2ZnH12Se2O14
_chemical_formula_sum 'Rb4 Zn2 H24 Se4 O28'
_cell_length_a 6.3589
_cell_length_b 12.4645
_cell_length_c 9.2267
_cell_angle_alpha 90.00
_cell_angle_beta 104.48
_cell_angle_gamma 90.00
_space_group_name_H-M_alt 'P 1'
_space_group_IT_number 1
loop_
_space_group_symop_operation_xyz
'x,y,z'
loop_
_atom_site_label
_atom_site_fract_x
_atom_site_fract_y
_atom_site_fract_z
Rb1 0.1614 0.1570 0.3654
Rb2 0.1614 0.3430 0.8654
Rb3 0.8386 0.6570 0.1346
Rb4 0.8386 0.8430 0.6346
Zn1 0.5000 0.0000 0.0000
Zn2 0.5000 0.5000 0.5000
H1 0.1651 0.5559 0.6014
H2 0.1651 0.9441 0.1014
H3 0.1756 0.6397 0.4724
H4 0.1756 0.8603 0.9724
H5 0.1817 0.0897 0.7935
H6 0.1817 0.4103 0.2935
H7 0.4076 0.1277 0.7571
H8 0.4076 0.3723 0.2571
H9 0.4210 0.5945 0.2257
H10 0.4210 0.9055 0.7257
H11 0.4937 0.6866 0.3497
H12 0.4937 0.8134 0.8497
H13 0.5063 0.1866 0.1503
H14 0.5063 0.3134 0.6503
H15 0.5790 0.0945 0.2743
H16 0.5790 0.4055 0.7743
H17 0.5924 0.6277 0.7429
H18 0.5924 0.8723 0.2429
H19 0.8183 0.5897 0.7065
H20 0.8183 0.9103 0.2065
H21 0.8244 0.1397 0.0276
H22 0.8244 0.3603 0.5276
H23 0.8349 0.0559 0.8986
H24 0.8349 0.4441 0.3986
Se1 0.2286 0.6372 0.9039
Se2 0.2286 0.8628 0.4039
Se3 0.7714 0.1372 0.5961
Se4 0.7714 0.3628 0.0961
O1 0.0738 0.7428 0.9168
O2 0.0738 0.7572 0.4168
O3 0.0927 0.5615 0.7613
O4 0.0927 0.9385 0.2613
O5 0.2082 0.5632 0.5044
O6 0.2082 0.9368 0.0044
O7 0.2701 0.5634 0.0582
O8 0.2701 0.9366 0.5582
O9 0.3339 0.1143 0.8391
O10 0.3339 0.3857 0.3391
O11 0.4641 0.6794 0.8734
O12 0.4641 0.8206 0.3734
O13 0.4766 0.1106 0.1744
O14 0.4766 0.3894 0.6744
O15 0.5234 0.6106 0.3256
O16 0.5234 0.8894 0.8256
O17 0.5359 0.1794 0.6266
O18 0.5359 0.3206 0.1266
O19 0.6661 0.6143 0.6609
O20 0.6661 0.8857 0.1609
O21 0.7299 0.0634 0.4418
O22 0.7299 0.4366 0.9418
O23 0.7918 0.0632 0.9956
O24 0.7918 0.4368 0.4956
O25 0.9073 0.0615 0.7387
O26 0.9073 0.4385 0.2387
O27 0.9262 0.2428 0.5832
O28 0.9262 0.2572 0.0832
```

2.
The following is a DFT calculation (SCAN) of a crystal of Rb2TeH12O10 relaxed with PBEsol.

Computed properties:
**SG**: No. 2
**Total moment**: 0.0 μB/cell
**N(E_F)**: 0.000 states/eV/atom
**VASP energy**: -8.52 eV per atom

```
data_Rb2TeH12O10
_chemical_formula_sum 'Rb4 Te2 H24 O20'
_cell_length_a 6.9713
_cell_length_b 8.2272
_cell_length_c 9.2745
_cell_angle_alpha 101.52
_cell_angle_beta 98.07
_cell_angle_gamma 94.71
_space_group_name_H-M_alt 'P 1'
_space_group_IT_number 1
loop_
_space_group_symop_operation_xyz
'x,y,z'
loop_
_atom_site_label
_atom_site_fract_x
_atom_site_fract_y
_atom_site_fract_z
Rb1 0.0609 0.0586 0.2020
Rb2 0.4357 0.6273 0.7078
Rb3 0.5643 0.3727 0.2922
Rb4 0.9391 0.9414 0.7980
Te1 0.3664 0.0713 0.6108
Te2 0.6336 0.9287 0.3892
H1 0.0183 0.5591 0.1802
H2 0.0754 0.8549 0.4963
H3 0.0974 0.4564 0.3664
H4 0.1002 0.3541 0.6947
H5 0.1758 0.3340 0.4756
H6 0.2156 0.6701 0.0239
H7 0.2182 0.3791 0.0337
H8 0.2863 0.2112 0.9412
H9 0.3120 0.6437 0.1817
H10 0.3304 0.9335 0.9133
H11 0.3536 0.7430 0.4129
H12 0.4174 0.8875 0.0675
H13 0.5826 0.1125 0.9325
H14 0.6464 0.2570 0.5871
H15 0.6696 0.0665 0.0867
H16 0.6880 0.3563 0.8183
H17 0.7137 0.7888 0.0588
H18 0.7818 0.6209 0.9663
H19 0.7844 0.3299 0.9761
H20 0.8242 0.6660 0.5244
H21 0.8998 0.6459 0.3053
H22 0.9026 0.5436 0.6336
H23 0.9246 0.1451 0.5037
H24 0.9817 0.4409 0.8198
O1 0.0676 0.4655 0.7468
O2 0.1437 0.1829 0.5823
O3 0.2122 0.5903 0.0915
O4 0.2138 0.8482 0.5478
O5 0.2154 0.4116 0.4125
O6 0.2252 0.2576 0.0296
O7 0.2981 0.8649 0.9873
O8 0.3759 0.0722 0.8141
O9 0.4039 0.0569 0.3982
O10 0.4519 0.7190 0.3439
O11 0.5481 0.2810 0.6561
O12 0.5961 0.9431 0.6018
O13 0.6241 0.9278 0.1859
O14 0.7019 0.1351 0.0127
O15 0.7748 0.7424 0.9704
O16 0.7846 0.5884 0.5875
O17 0.7862 0.1518 0.4522
O18 0.7878 0.4097 0.9085
O19 0.8563 0.8171 0.4177
O20 0.9324 0.5345 0.2532
```

3.
The following is a DFT calculation (SCAN) of a crystal of RbZr2HO relaxed with PBEsol.

Computed properties:
**SG**: No. 123
**Total moment**: 1.3 μB/cell
**N(E_F)**: 0.806 states/eV/atom
**VASP energy**: -18.71 eV per atom

```
data_RbZr2HO
_chemical_formula_sum 'Rb1 Zr2 H1 O1'
_cell_length_a 4.1820
_cell_length_b 4.1820
_cell_length_c 8.0219
_cell_angle_alpha 90.00
_cell_angle_beta 90.00
_cell_angle_gamma 90.00
_space_group_name_H-M_alt 'P 1'
_space_group_IT_number 1
loop_
_space_group_symop_operation_xyz
'x,y,z'
loop_
_atom_site_label
_atom_site_fract_x
_atom_site_fract_y
_atom_site_fract_z
Rb1 0.0000 0.0000 0.0000
Zr1 0.0000 0.5000 0.5000
Zr2 0.5000 0.0000 0.5000
H1 0.5000 0.5000 0.0000
O1 0.0000 0.0000 0.5000
```

4.
The following is a DFT calculation (SCAN) of a crystal of SbH3SO6 relaxed with PBEsol.

Computed properties:
**SG**: No. 14
**Total moment**: 0.0 μB/cell
**N(E_F)**: 0.000 states/eV/atom
**VASP energy**: -9.93 eV per atom

```
data_SbH3SO6
_chemical_formula_sum 'Sb4 H12 S4 O24'
_cell_length_a 5.9398
_cell_length_b 13.2581
_cell_length_c 6.7356
_cell_angle_alpha 90.00
_cell_angle_beta 117.78
_cell_angle_gamma 90.00
_space_group_name_H-M_alt 'P 1'
_space_group_IT_number 1
loop_
_space_group_symop_operation_xyz
'x,y,z'
loop_
_atom_site_label
_atom_site_fract_x
_atom_site_fract_y
_atom_site_fract_z
Sb1 0.0689 0.1132 0.4052
Sb2 0.0689 0.3868 0.9052
Sb3 0.9311 0.6132 0.0948
Sb4 0.9311 0.8868 0.5948
H1 0.2277 0.5759 0.8671
H2 0.2277 0.9241 0.3671
H3 0.2691 0.1340 0.0734
H4 0.2691 0.3660 0.5734
H5 0.3239 0.0219 0.1851
H6 0.3239 0.4781 0.6851
H7 0.6761 0.5219 0.3149
H8 0.6761 0.9781 0.8149
H9 0.7309 0.6340 0.4266
H10 0.7309 0.8660 0.9266
H11 0.7723 0.0759 0.6329
H12 0.7723 0.4241 0.1329
S1 0.3980 0.6594 0.5717
S2 0.3980 0.8406 0.0717
S3 0.6020 0.1594 0.9283
S4 0.6020 0.3406 0.4283
O1 0.1181 0.5403 0.9222
O2 0.1181 0.9597 0.4222
O3 0.2159 0.7409 0.5269
O4 0.2159 0.7591 0.0269
O5 0.2234 0.0850 0.1633
O6 0.2234 0.4150 0.6633
O7 0.2875 0.5848 0.3749
O8 0.2875 0.9152 0.8749
O9 0.3529 0.1927 0.9019
O10 0.3529 0.3073 0.4019
O11 0.4402 0.5986 0.7747
O12 0.4402 0.9014 0.2747
O13 0.5598 0.0986 0.7253
O14 0.5598 0.4014 0.2253
O15 0.6471 0.6927 0.5981
O16 0.6471 0.8073 0.0981
O17 0.7125 0.0848 0.1251
O18 0.7125 0.4152 0.6251
O19 0.7766 0.5850 0.3367
O20 0.7766 0.9150 0.8367
O21 0.7841 0.2409 0.9731
O22 0.7841 0.2591 0.4731
O23 0.8819 0.0403 0.5778
O24 0.8819 0.4597 0.0778
```

Question: The highest N(E_F) belongs to which entry?
Answer: RbZr2HO